Record 1
Na5AuSeN2, relaxed, DFT PBE; space-group type = P4/mmm (123); DFT total energy = -31.4 eV/cell; volume = 21.4 Å³ per atom
1.0
4.737 0.000 0.000
0.000 4.737 0.000
0.000 0.000 8.590
Au N Na Se
1 2 5 1
Cartesian
0.000 0.000 0.000 Au
0.000 0.000 1.928 N
0.000 0.000 6.662 N
2.369 0.000 2.253 Na
0.000 2.369 2.253 Na
0.000 0.000 4.295 Na
2.369 0.000 6.337 Na
0.000 2.369 6.337 Na
2.369 2.369 4.295 Se


Record 2
TbHfP2, relaxed, DFT PBE; space-group type = P-3m1 (164); DFT total energy = -61.8 eV/cell; volume = 20.5 Å³ per atom
1.0
-0.820 -2.274 2.949
3.122 -0.642 -2.093
6.895 7.761 7.903
Hf P Tb
2 4 2
Cartesian
3.184 1.297 4.351 Hf
6.014 3.548 4.408 Hf
0.000 0.000 0.000 P
3.678 0.918 1.731 P
3.448 3.881 3.952 P
5.520 3.926 7.028 P
1.372 -0.742 2.275 Tb
7.825 5.586 6.484 Tb


Record 3
Dy3Fe, relaxed, DFT PBE; space-group type = Fm-3m (225); DFT total energy = -20.6 eV/cell; volume = 25.4 Å³ per atom
1.0
0.000 3.705 3.705
3.705 0.000 3.705
3.705 3.705 0.000
Dy Fe
3 1
Cartesian
0.000 0.000 0.000 Dy
1.853 1.853 1.853 Dy
3.705 3.705 3.705 Dy
5.558 5.558 5.558 Fe


Record 4
Ho3LuSn2C2, relaxed, DFT PBE; space-group type = P3m1 (156); DFT total energy = -49.3 eV/cell; volume = 21.8 Å³ per atom
1.0
-1.852 -2.479 -1.807
0.711 -0.478 3.479
-13.405 7.287 3.741
C Ho Lu Sn
2 3 1 2
Cartesian
-6.850 2.501 3.589 C
-13.521 6.127 5.450 C
-2.112 -1.206 0.266 Ho
-6.564 1.215 1.509 Ho
-7.843 4.264 2.189 Ho
-12.283 6.677 3.428 Lu
-3.343 1.818 0.933 Sn
-11.082 3.671 2.769 Sn


Record 5
Ba2PuHfN4, relaxed, DFT PBE; space-group type = P4mm (99); DFT total energy = -70.4 eV/cell; volume = 18.9 Å³ per atom
1.0
4.167 0.000 0.000
0.000 4.167 0.000
0.000 0.000 8.721
Ba Hf N Pu
2 1 4 1
Cartesian
2.084 2.084 1.433 Ba
0.000 0.000 7.556 Ba
0.000 0.000 3.529 Hf
0.000 0.000 1.542 N
2.084 0.000 4.206 N
0.000 2.084 4.206 N
2.084 2.084 7.270 N
2.084 2.084 5.142 Pu


Record 6
DySbIr, relaxed, DFT PBE; space-group type = Pnma (62); DFT total energy = -81.1 eV/cell; volume = 21.4 Å³ per atom
1.0
7.174 0.000 0.000
0.000 4.514 0.000
0.000 0.000 7.917
Dy Ir Sb
4 4 4
Cartesian
3.669 1.129 1.523 Dy
0.082 1.129 2.435 Dy
7.092 3.386 5.482 Dy
3.505 3.386 6.393 Dy
1.501 3.386 0.700 Ir
5.088 3.386 3.258 Ir
2.086 1.129 4.658 Ir
5.673 1.129 7.217 Ir
5.897 3.386 0.700 Sb
2.310 3.386 3.259 Sb
4.864 1.129 4.658 Sb
1.277 1.129 7.217 Sb


Record 7
NbAsPO, relaxed, DFT PBE; space-group type = Pmc2_1 (26); DFT total energy = -56.7 eV/cell; volume = 18.1 Å³ per atom
1.0
-0.542 0.019 -3.247
-3.852 -4.747 0.615
-5.451 4.545 0.935
As Nb O P
2 2 2 2
Cartesian
-3.549 -3.430 0.572 As
-3.942 1.717 0.667 As
-1.994 -2.099 -1.348 Nb
-5.139 -0.344 -0.814 Nb
-3.158 -0.614 -1.146 O
-6.802 0.527 -0.532 O
-5.454 -2.122 0.897 P
-5.575 3.360 0.949 P


Record 8
YHoH2O4, relaxed, DFT PBE; space-group type = Pm (6); DFT total energy = -58.8 eV/cell; volume = 10.8 Å³ per atom
1.0
-4.216 0.700 0.367
-0.612 -2.259 -2.728
1.548 -4.566 3.434
H Ho O Y
2 1 4 1
Cartesian
-1.824 -2.637 0.225 H
-1.152 -2.340 2.196 H
-3.225 -0.288 0.962 Ho
-1.046 -0.072 0.294 O
-2.777 -2.592 0.402 O
-0.195 -2.391 2.024 O
-1.929 -4.949 2.163 O
0.251 -4.715 1.480 Y